(1)
DFT (meta-GGA SCAN) results for TeAsPS2 at its PBEsol-relaxed geometry.

Summary:
SG = P4/mmm
Raw total energy = -16.273 eV/atom
M_tot = 0.00 μB/f.u.
Crystal system = tetragonal

Geometry as CIF:
```
data_TeAsPS2
_chemical_formula_sum 'Te1 As1 P1 S2'
_cell_length_a 4.8465
_cell_length_b 4.8465
_cell_length_c 5.1246
_cell_angle_alpha 90.00
_cell_angle_beta 90.00
_cell_angle_gamma 90.00
_space_group_name_H-M_alt 'P 1'
_space_group_IT_number 1
_space_group_name_Hall 'P 1'
loop_
_atom_site_label
_atom_site_type_symbol
_atom_site_fract_x
_atom_site_fract_y
_atom_site_fract_z
_atom_site_occupancy
Te1 Te 0.0000 0.0000 0.0000 1
P1 P 0.0000 0.0000 0.5000 1
S1 S 0.5000 0.0000 0.0000 1
S2 S 0.0000 0.5000 0.0000 1
As1 As 0.5000 0.5000 0.5000 1
```

---

(2)
DFT (meta-GGA SCAN) results for NaRe2HPb at its PBEsol-relaxed geometry.

Summary:
SG = P4/mmm
Raw total energy = -42.722 eV/atom
M_tot = 4.62 μB/f.u.
Crystal system = tetragonal

Geometry as CIF:
```
data_NaRe2HPb
_chemical_formula_sum 'Na1 Re2 H1 Pb1'
_cell_length_a 3.1674
_cell_length_b 5.0024
_cell_length_c 5.0024
_cell_angle_alpha 90.00
_cell_angle_beta 90.00
_cell_angle_gamma 90.00
_space_group_name_H-M_alt 'P 1'
_space_group_IT_number 1
_space_group_name_Hall 'P 1'
loop_
_atom_site_label
_atom_site_type_symbol
_atom_site_fract_x
_atom_site_fract_y
_atom_site_fract_z
_atom_site_occupancy
Na1 Na 0.0000 0.0000 0.0000 1
Pb1 Pb 0.5000 0.5000 0.5000 1
Re1 Re 0.0000 0.5000 0.0000 1
Re2 Re 0.0000 0.0000 0.5000 1
H1 H 0.5000 0.0000 0.0000 1
```